Here is a geometry-optimized Y2BiTe structure from Alexandria. Energies are from PBE.

* energy relative to the elements, uncorrected: -0.8862 eV per atom
* spin magnetization: 0.9 Bohr magnetons per cell
* crystal system: cubic
* calculated total energy: -5.8739 eV/atom
* SG: Fm-3m (225)

Cell: 5.4443 5.4443 5.4443 Å, 60.00 60.00 60.00°
Last column: magnetic moment on the atom in μB.
Fractional coordinates of all 4 atoms:
1 Y 0.2500 0.2500 0.2500  0.23
2 Y 0.7500 0.7500 0.7500  0.23
3 Te 0.0000 0.0000 0.0000  -0.01
4 Bi 0.5000 0.5000 0.5000  -0.01

***

Here is a geometry-optimized Y2Bi2Te structure from Alexandria. Energies are from PBE.

* energy relative to the elements, uncorrected: -0.7820 eV per atom
* spin magnetization: 0.0 Bohr magnetons per cell
* crystal system: tetragonal
* calculated total energy: -5.5484 eV/atom
* SG: P4/mbm (127)

Cell: 8.3124 8.3124 4.4028 Å, 90.00 90.00 90.00°
Fractional coordinates of all 10 atoms:
1 Y 0.3339 0.8339 0.0000
2 Y 0.8339 0.6661 0.0000
3 Y 0.6661 0.1661 0.0000
4 Y 0.1661 0.3339 0.0000
5 Te 0.0000 0.0000 0.0000
6 Te 0.5000 0.5000 0.0000
7 Bi 0.1358 0.6358 0.5000
8 Bi 0.6358 0.8642 0.5000
9 Bi 0.8642 0.3642 0.5000
10 Bi 0.3642 0.1358 0.5000

***

Here is a geometry-optimized Y3Bi5Te12 structure from Alexandria. Energies are from PBE.

* energy relative to the elements, uncorrected: -0.4773 eV per atom
* spin magnetization: 0.0 Bohr magnetons per cell
* crystal system: cubic
* calculated total energy: -4.3022 eV/atom
* SG: Ia-3d (230)

Cell: 15.9247 15.9247 15.9247 Å, 109.47 109.47 109.47°
Fractional coordinates of all 80 atoms:
1 Y 0.7500 0.3750 0.1250
2 Y 0.8750 0.7500 0.1250
3 Y 0.3750 0.7500 0.6250
4 Y 0.2500 0.1250 0.3750
5 Y 0.8750 0.1250 0.2500
6 Y 0.3750 0.6250 0.2500
7 Y 0.6250 0.3750 0.7500
8 Y 0.1250 0.8750 0.7500
9 Y 0.7500 0.8750 0.6250
10 Y 0.6250 0.2500 0.3750
11 Y 0.1250 0.2500 0.8750
12 Y 0.2500 0.6250 0.8750
13 Bi 0.1250 0.3750 0.2500
14 Bi 0.0000 0.5000 0.0000
15 Bi 0.0000 0.0000 0.0000
16 Bi 0.3750 0.2500 0.1250
17 Bi 0.5000 0.0000 0.5000
18 Bi 0.5000 0.5000 0.0000
19 Bi 0.1250 0.7500 0.3750
20 Bi 0.7500 0.1250 0.8750
21 Bi 0.7500 0.6250 0.3750
22 Bi 0.3750 0.1250 0.7500
23 Bi 0.6250 0.8750 0.2500
24 Bi 0.5000 0.5000 0.5000
25 Bi 0.5000 0.0000 0.0000
26 Bi 0.0000 0.0000 0.5000
27 Bi 0.2500 0.3750 0.6250
28 Bi 0.2500 0.8750 0.1250
29 Bi 0.0000 0.5000 0.5000
30 Bi 0.8750 0.2500 0.6250
31 Bi 0.6250 0.7500 0.8750
32 Bi 0.8750 0.6250 0.7500
33 Te 0.7252 0.1415 0.0576
34 Te 0.3324 0.5576 0.4162
35 Te 0.9424 0.3585 0.2748
36 Te 0.5576 0.2252 0.1415
37 Te 0.5837 0.7252 0.6676
38 Te 0.9424 0.5838 0.1676
39 Te 0.3324 0.7748 0.4163
40 Te 0.0838 0.9163 0.1415
41 Te 0.5838 0.9424 0.6676
42 Te 0.7252 0.5837 0.1676
43 Te 0.7748 0.4424 0.3585
44 Te 0.8324 0.9162 0.0576
45 Te 0.1415 0.7252 0.5576
46 Te 0.3585 0.4162 0.0837
47 Te 0.0837 0.9162 0.3585
48 Te 0.4163 0.1415 0.5838
49 Te 0.0837 0.1676 0.2252
50 Te 0.4424 0.6676 0.0838
51 Te 0.8324 0.9163 0.2748
52 Te 0.1415 0.4163 0.0838
53 Te 0.3585 0.9424 0.7748
54 Te 0.5838 0.6415 0.4163
55 Te 0.9162 0.8324 0.5576
56 Te 0.7748 0.3324 0.9163
57 Te 0.4162 0.3585 0.5837
58 Te 0.0838 0.1676 0.4424
59 Te 0.2252 0.6676 0.0837
60 Te 0.1676 0.0837 0.7252
61 Te 0.6415 0.0576 0.2252
62 Te 0.8585 0.5837 0.9162
63 Te 0.5576 0.3324 0.9162
64 Te 0.5837 0.8585 0.4162
65 Te 0.9163 0.8324 0.7748
66 Te 0.9163 0.0838 0.6415
67 Te 0.8585 0.2748 0.4424
68 Te 0.1676 0.0838 0.9424
69 Te 0.6415 0.5838 0.9163
70 Te 0.4162 0.0576 0.3324
71 Te 0.2748 0.4163 0.8324
72 Te 0.2252 0.5576 0.6415
73 Te 0.9162 0.0837 0.8585
74 Te 0.6676 0.2252 0.5837
75 Te 0.4424 0.7748 0.8585
76 Te 0.0576 0.4162 0.8324
77 Te 0.4163 0.2748 0.3324
78 Te 0.0576 0.6415 0.7252
79 Te 0.6676 0.4424 0.5838
80 Te 0.2748 0.8585 0.9424

***

Here is a geometry-optimized Y4BiTe3 structure from Alexandria. Energies are from PBE.

* energy relative to the elements, uncorrected: -1.2194 eV per atom
* spin magnetization: 0.0 Bohr magnetons per cell
* crystal system: orthorhombic
* calculated total energy: -6.1147 eV/atom
* SG: Cmmm (65)

Cell: 4.3828 7.6180 7.6180 Å, 109.28 90.00 90.00°
Fractional coordinates of all 8 atoms:
1 Y 0.0000 0.2515 0.2515
2 Y 0.5000 0.7488 0.2512
3 Y 0.0000 0.7485 0.7485
4 Y 0.5000 0.2512 0.7488
5 Te 0.0000 0.0000 0.5000
6 Te 0.5000 0.5000 0.5000
7 Te 0.0000 0.5000 0.0000
8 Bi 0.5000 0.0000 0.0000